Entry 1:
A relaxed structure of CrHIr. Source: Alexandria via LeMat-Bulk, functional GGA-PBE.

Cell lengths 2.7232, 2.7232, 13.8675 Å; angles 90.00, 90.00, 120.00 degrees
Closest atoms and distances in Å follow each position.
Space group R3m (No. 160, hexagonal axes)
Asymmetric unit:
Cr 0.0000 0.0000 0.0000  3 H 1.76
H 0.0000 0.0000 0.3909  3 Cr 1.76, 1 Ir 1.83
Ir 0.0000 0.0000 0.5227  1 H 1.83

=====

Entry 2:
A relaxed structure of Nd2Ga3Ni4Rh. Source: Alexandria via LeMat-Bulk, functional GGA-PBE.

Formation energy from the elements (eV/atom): -0.504

Cell lengths 4.0066, 4.0066, 10.5533 Å; angles 90.00, 90.00, 90.00 degrees
Closest atoms and distances in Å follow each position.
Space group P-4m2 (No. 115)
Asymmetric unit:
Nd 0.0000 0.5000 0.2451  8 Ni 3.03-3.35, 6 Ga 3.14-3.27, 2 Rh 3.27
Ga 0.0000 0.0000 0.0000  4 Ni 2.52
Ga 0.0000 0.5000 0.6256  5 Ni 2.40-2.43
Ni 0.0000 0.0000 0.5000  4 Ga 2.40
Ni 0.0000 0.5000 0.8554  3 Ga 2.43-2.52, 2 Rh 2.52
Ni 0.5000 0.5000 0.5000  4 Ga 2.40
Rh 0.5000 0.5000 0.0000  4 Ni 2.52

=====

Entry 3:
A relaxed structure of LaZn10Ni2. Source: Alexandria via LeMat-Bulk, functional GGA-PBE.

Formation energy from the elements (eV/atom): -0.227

Cell lengths 5.0175, 12.6953, 12.8264 Å; angles 90.00, 90.00, 90.00 degrees
Closest atoms and distances in Å follow each position.
Space group Fmmm (No. 69)
Asymmetric unit:
La 0.0000 0.0000 0.0000  16 Zn 3.16-3.41, 4 Ni 3.44
Zn 0.0000 0.1078 0.3824  2 Ni 2.52, 6 Zn 2.67-2.75
Zn 0.0000 0.1672 0.1826  2 Ni 2.61, 6 Zn 2.67-2.86
Zn 0.2500 0.2500 0.0000  6 Zn 2.51-2.67
Ni 0.2500 0.0000 0.2500  2 Ni 2.51, 8 Zn 2.52-2.61

=====

Entry 4:
A relaxed structure of PmSmEr3Sc. Source: Alexandria via LeMat-Bulk, functional GGA-PBE.

Formation energy from the elements (eV/atom): 0.039

Cell lengths 4.9651, 14.9075, 9.9405 Å; angles 90.00, 90.00, 90.00 degrees
Closest atoms and distances in Å follow each position.
Space group Cmcm (No. 63)
Asymmetric unit:
Pm 0.0000 0.0020 0.2500  4 Sm 3.51, 2 Sc 3.51, 6 Er 3.51-3.57
Sm 0.0000 0.5000 0.0000  4 Pm 3.51, 6 Er 3.54-3.55, 2 Sc 3.54
Er 0.0000 0.1688 0.0004  5 Er 3.45-3.52, 3 Sc 3.47-3.51, 2 Pm 3.51-3.56, 2 Sm 3.54
Er 0.0000 0.3297 0.2500  6 Er 3.45-3.52, 2 Sc 3.45, 2 Sm 3.55, 2 Pm 3.57
Sc 0.0000 0.3313 0.7500  8 Er 3.45-3.51, 2 Pm 3.51, 2 Sm 3.54

=====

Entry 5:
A relaxed structure of Sr2TiCoAg. Source: Alexandria via LeMat-Bulk, functional GGA-PBE.

Formation energy from the elements (eV/atom): 0.902

Cell lengths 5.4974, 5.4974, 4.9183 Å; angles 90.00, 90.00, 90.00 degrees
Closest atoms and distances in Å follow each position.
Space group P4/mmm (No. 123)
Asymmetric unit:
Sr 0.0000 0.5000 0.0000  2 Co 2.75
Ti 0.0000 0.0000 0.5000  8 Sr 3.69, 4 Ag 3.89
Co 0.5000 0.5000 0.0000  2 Ag 2.46, 4 Sr 2.75
Ag 0.5000 0.5000 0.5000  2 Co 2.46

=====

Entry 6:
A relaxed structure of Li3SiPd2. Source: Alexandria via LeMat-Bulk, functional GGA-PBE.

Cell lengths 5.9000, 5.9049, 9.7451 Å; angles 90.00, 107.55, 90.00 degrees
Closest atoms and distances in Å follow each position.
Space group C2/c (No. 15)
Asymmetric unit:
Li 0.0000 0.1242 0.2500  4 Pd 2.50-2.51, 4 Li 2.58
Li 0.1688 0.1253 0.5864  2 Si 2.58-2.59, 4 Li 2.58-2.64, 2 Pd 2.72
Si 0.0000 0.3740 0.7500  4 Pd 2.50, 4 Li 2.58-2.59
Pd 0.1749 0.3752 0.1010  4 Li 2.50-2.72, 2 Si 2.50, 1 Pd 2.80

=====

Entry 7:
A relaxed structure of NaInSe2. Source: Alexandria via LeMat-Bulk, functional GGA-PBE.

Cell lengths 4.0212, 4.0212, 7.1276 Å; angles 90.00, 90.00, 120.00 degrees
Closest atoms and distances in Å follow each position.
Space group P-3m1 (No. 164)
Asymmetric unit:
Na 0.0000 0.0000 0.0000  6 Se 3.06
In 0.0000 0.0000 0.5000  6 Se 2.80
Se 0.3333 0.6667 0.7203  3 In 2.80, 3 Na 3.06

=====

Entry 8:
A relaxed structure of YErAgGe. Source: Alexandria via LeMat-Bulk, functional GGA-PBE.

Formation energy from the elements (eV/atom): -0.532

Cell lengths 7.1634, 7.1634, 7.1634 Å; angles 90.00, 90.00, 90.00 degrees
Closest atoms and distances in Å follow each position.
Space group F-43m (No. 216)
Asymmetric unit:
Y 0.0000 0.0000 0.0000  4 Ge 3.10, 4 Ag 3.10
Er 0.0000 0.0000 0.5000  4 Ag 3.10, 4 Ge 3.10
Ag 0.2500 0.2500 0.2500  4 Y 3.10, 4 Er 3.10
Ge 0.2500 0.2500 0.7500  4 Er 3.10, 4 Y 3.10

=====

Entry 9:
A relaxed structure of TcTe2Pt. Source: Alexandria via LeMat-Bulk, functional GGA-PBE.

Cell lengths 6.8158, 6.8158, 6.8158 Å; angles 90.00, 90.00, 90.00 degrees
Closest atoms and distances in Å follow each position.
Space group Fm-3m (No. 225)
Asymmetric unit:
Tc 0.0000 0.0000 0.0000  8 Te 2.95
Te 0.2500 0.2500 0.2500  4 Tc 2.95, 4 Pt 2.95
Pt 0.0000 0.0000 0.5000  8 Te 2.95

=====

Entry 10:
A relaxed structure of LiMg2NiCl. Source: Alexandria via LeMat-Bulk, functional GGA-PBE.

Cell lengths 5.2508, 5.2508, 3.9984 Å; angles 90.00, 90.00, 90.00 degrees
Closest atoms and distances in Å follow each position.
Space group P4/mmm (No. 123)
Asymmetric unit:
Li 0.0000 0.0000 0.0000  2 Cl 2.00
Mg 0.0000 0.5000 0.0000  2 Li 2.63
Ni 0.5000 0.5000 0.5000  8 Mg 3.30
Cl 0.0000 0.0000 0.5000  2 Li 2.00

=====

no.,electronic total energy (eV/atom),N(E_F) (states/eV/atom)
1,-7.285,0.935
2,-5.413,0.960
3,-2.476,0.470
4,-4.876,1.490
5,-3.341,2.391
6,-4.136,0.200
7,-3.553,0.000
8,-5.156,0.842
9,-5.272,1.075
10,-2.175,0.921